(1)
# Er2PtBr2, optimized geometry, DFT PBE
# Magnetic moment (μB/f.u.): 0.0
# E (eV per atom): -5.214
# DOS at the Fermi energy (states/eV/cell): 2.64
# Formation energy from raw total energies (meV/atom): -1511
data_Er2PtBr2
_chemical_formula_sum 'Er4 Pt2 Br4'
_cell_length_a 6.854
_cell_length_b 3.956
_cell_length_c 11.624
_cell_angle_alpha 90.00
_cell_angle_beta 102.50
_cell_angle_gamma 90.00
_space_group_name_H-M_alt 'C 1 2/m 1'
_space_group_IT_number 12
_space_group_name_Hall '-C 2y'
loop_
_atom_site_label
_atom_site_type_symbol
_atom_site_fract_x
_atom_site_fract_y
_atom_site_fract_z
_atom_site_occupancy
Er1 Er 0.219 0.000 0.144 1
Pt1 Pt 0.000 0.500 0.000 1
Br1 Br 0.052 0.000 0.688 1

(2)
# Tb2GdSb, optimized geometry, DFT PBE
# Relative energy among the computed polymorphs (meV/atom): 22
# Magnetic moment (μB/f.u.): 8.4
# E (eV per atom): -7.353
# DOS at the Fermi energy (states/eV/cell): 5.59
# Formation energy from raw total energies (meV/atom): -487
data_Tb2GdSb
_chemical_formula_sum 'Tb2 Gd1 Sb1'
_cell_length_a 4.050
_cell_length_b 4.050
_cell_length_c 7.125
_cell_angle_alpha 90.00
_cell_angle_beta 90.00
_cell_angle_gamma 90.00
_space_group_name_H-M_alt 'P 4/m m m'
_space_group_IT_number 123
_space_group_name_Hall '-P 4 2'
loop_
_atom_site_label
_atom_site_type_symbol
_atom_site_fract_x
_atom_site_fract_y
_atom_site_fract_z
_atom_site_occupancy
Tb1 Tb 0.000 0.000 0.224 1
Gd1 Gd 0.500 0.500 0.500 1
Sb1 Sb 0.500 0.500 0.000 1

(3)
# Li3HgPb, optimized geometry, DFT PBE
# Relative energy among the computed polymorphs (meV/atom): 242
# Magnetic moment (μB/f.u.): 0.0
# E (eV per atom): -2.002
# DOS at the Fermi energy (states/eV/cell): 2.06
data_Li3HgPb
_chemical_formula_sum 'Li3 Hg1 Pb1'
_cell_length_a 4.958
_cell_length_b 4.958
_cell_length_c 4.958
_cell_angle_alpha 90.00
_cell_angle_beta 90.00
_cell_angle_gamma 90.00
_space_group_name_H-M_alt 'P m -3 m'
_space_group_IT_number 221
_space_group_name_Hall '-P 4 2 3'
loop_
_atom_site_label
_atom_site_type_symbol
_atom_site_fract_x
_atom_site_fract_y
_atom_site_fract_z
_atom_site_occupancy
Li1 Li 0.000 0.000 0.500 1
Hg1 Hg 0.000 0.000 0.000 1
Pb1 Pb 0.500 0.500 0.500 1

(4)
# Y2BiPt9, optimized geometry, DFT PBE
# Magnetic moment (μB/f.u.): 0.0
# E (eV per atom): -6.619
# DOS at the Fermi energy (states/eV/cell): 6.83
data_Y2BiPt9
_chemical_formula_sum 'Y2 Bi1 Pt9'
_cell_length_a 4.133
_cell_length_b 4.133
_cell_length_c 12.458
_cell_angle_alpha 90.00
_cell_angle_beta 90.00
_cell_angle_gamma 90.00
_space_group_name_H-M_alt 'P 4/m m m'
_space_group_IT_number 123
_space_group_name_Hall '-P 4 2'
loop_
_atom_site_label
_atom_site_type_symbol
_atom_site_fract_x
_atom_site_fract_y
_atom_site_fract_z
_atom_site_occupancy
Y1 Y 0.000 0.000 0.163 1
Bi1 Bi 0.000 0.000 0.500 1
Pt1 Pt 0.000 0.500 0.000 1
Pt2 Pt 0.000 0.500 0.331 1
Pt3 Pt 0.500 0.500 0.168 1
Pt4 Pt 0.500 0.500 0.500 1

(5)
# Cs4Ac3GeSe8, optimized geometry, DFT PBE
# Magnetic moment (μB/f.u.): 0.0
# E (eV per atom): -4.446
# DOS at the Fermi energy (states/eV/cell): 17.55
# Formation energy from raw total energies (meV/atom): -1432
data_Cs4Ac3GeSe8
_chemical_formula_sum 'Cs12 Ac9 Ge3 Se24'
_cell_length_a 9.0470
_cell_length_b 9.0470
_cell_length_c 25.3077
_cell_angle_alpha 90.00
_cell_angle_beta 90.00
_cell_angle_gamma 120.00
_space_group_name_H-M_alt 'R -3 m'
_space_group_IT_number 166
_space_group_name_Hall '-R 3 2"'
loop_
_atom_site_label
_atom_site_type_symbol
_atom_site_fract_x
_atom_site_fract_y
_atom_site_fract_z
_atom_site_occupancy
Cs1 Cs 0.0000 0.0000 0.0000 1
Cs2 Cs 0.0000 0.5000 0.0000 1
Ac1 Ac 0.0000 0.5000 0.5000 1
Ge1 Ge 0.0000 0.0000 0.5000 1
Se1 Se 0.0000 0.0000 0.2334 1
Se2 Se 0.0249 0.5125 0.2290 1

(6)
# ZnPtAu, optimized geometry, DFT PBE
# Relative energy among the computed polymorphs (meV/atom): 166
# Magnetic moment (μB/f.u.): 0.0
# E (eV per atom): -3.670
# DOS at the Fermi energy (states/eV/cell): 23.92
data_ZnPtAu
_chemical_formula_sum 'Zn16 Pt16 Au16'
_cell_length_a 6.873
_cell_length_b 8.454
_cell_length_c 15.595
_cell_angle_alpha 90.00
_cell_angle_beta 90.00
_cell_angle_gamma 90.00
_space_group_name_H-M_alt 'F d d d'
_space_group_IT_number 70
loop_
_space_group_symop_operation_xyz
'x,y,z'
'-x,-y,-z'
'-x+1/4,-y+1/4,z'
'x+1/4,y+1/4,-z'
'x,-y+1/4,-z+1/4'
'-x,y+1/4,z+1/4'
'-x+1/4,y,-z+1/4'
'x+1/4,-y,z+1/4'
'x,y+1/2,z+1/2'
'-x,-y+1/2,-z+1/2'
'-x+1/4,-y+3/4,z+1/2'
'x+1/4,y+3/4,-z+1/2'
'x,-y+3/4,-z+3/4'
'-x,y+3/4,z+3/4'
'-x+1/4,y+1/2,-z+3/4'
'x+1/4,-y+1/2,z+3/4'
'x+1/2,y,z+1/2'
'-x+1/2,-y,-z+1/2'
'-x+3/4,-y+1/4,z+1/2'
'x+3/4,y+1/4,-z+1/2'
'x+1/2,-y+1/4,-z+3/4'
'-x+1/2,y+1/4,z+3/4'
'-x+3/4,y,-z+3/4'
'x+3/4,-y,z+3/4'
'x+1/2,y+1/2,z'
'-x+1/2,-y+1/2,-z'
'-x+3/4,-y+3/4,z'
'x+3/4,y+3/4,-z'
'x+1/2,-y+3/4,-z+1/4'
'-x+1/2,y+3/4,z+1/4'
'-x+3/4,y+1/2,-z+1/4'
'x+3/4,-y+1/2,z+1/4'
loop_
_atom_site_label
_atom_site_type_symbol
_atom_site_fract_x
_atom_site_fract_y
_atom_site_fract_z
_atom_site_occupancy
Zn1 Zn 0.125 0.307 0.125 1
Pt1 Pt 0.125 0.125 0.257 1
Au1 Au 0.000 0.000 0.500 1

(7)
# Ba8Li2Tl, optimized geometry, DFT PBE
# Magnetic moment (μB/f.u.): 0.0
# E (eV per atom): -2.004
# DOS at the Fermi energy (states/eV/cell): 30.65
data_Ba8Li2Tl
_chemical_formula_sum 'Ba16 Li4 Tl2'
_cell_length_a 21.802
_cell_length_b 6.251
_cell_length_c 8.681
_cell_angle_alpha 90.00
_cell_angle_beta 108.77
_cell_angle_gamma 90.00
_space_group_name_H-M_alt 'C 1 2/m 1'
_space_group_IT_number 12
_space_group_name_Hall '-C 2y'
loop_
_atom_site_label
_atom_site_type_symbol
_atom_site_fract_x
_atom_site_fract_y
_atom_site_fract_z
_atom_site_occupancy
Ba1 Ba 0.028 0.000 0.296 1
Ba2 Ba 0.091 0.500 0.933 1
Ba3 Ba 0.163 0.500 0.467 1
Ba4 Ba 0.200 0.000 0.808 1
Li1 Li 0.181 0.000 0.205 1
Tl1 Tl 0.000 0.500 0.500 1

(8)
# LaHgGeAs2, optimized geometry, DFT PBE
# Magnetic moment (μB/f.u.): 0.0
# E (eV per atom): -3.220
# DOS at the Fermi energy (states/eV/cell): 4.38
data_LaHgGeAs2
_chemical_formula_sum 'La1 Hg1 Ge1 As2'
_cell_length_a 5.698
_cell_length_b 5.698
_cell_length_c 5.851
_cell_angle_alpha 90.00
_cell_angle_beta 90.00
_cell_angle_gamma 90.00
_space_group_name_H-M_alt 'P 4/m m m'
_space_group_IT_number 123
_space_group_name_Hall '-P 4 2'
loop_
_atom_site_label
_atom_site_type_symbol
_atom_site_fract_x
_atom_site_fract_y
_atom_site_fract_z
_atom_site_occupancy
La1 La 0.000 0.000 0.000 1
Hg1 Hg 0.500 0.500 0.500 1
Ge1 Ge 0.000 0.000 0.500 1
As1 As 0.000 0.500 0.000 1

(9)
# Ca2TeRh, optimized geometry, DFT PBE
# Magnetic moment (μB/f.u.): 0.0
# E (eV per atom): -4.201
# DOS at the Fermi energy (states/eV/cell): 5.83
# Formation energy from raw total energies (meV/atom): -577
data_Ca2TeRh
_chemical_formula_sum 'Ca4 Te2 Rh2'
_cell_length_a 4.308
_cell_length_b 4.308
_cell_length_c 10.460
_cell_angle_alpha 90.00
_cell_angle_beta 90.00
_cell_angle_gamma 90.00
_space_group_name_H-M_alt 'I -4 m 2'
_space_group_IT_number 119
_space_group_name_Hall 'I -4 -2'
loop_
_atom_site_label
_atom_site_type_symbol
_atom_site_fract_x
_atom_site_fract_y
_atom_site_fract_z
_atom_site_occupancy
Ca1 Ca 0.000 0.000 0.000 1
Ca2 Ca 0.000 0.500 0.250 1
Te1 Te 0.000 0.000 0.500 1
Rh1 Rh 0.000 0.500 0.750 1

(10)
# Ho2PuAgHg4, optimized geometry, DFT PBE
# Magnetic moment (μB/f.u.): 6.2
# E (eV per atom): -3.711
# DOS at the Fermi energy (states/eV/cell): 33.94
data_Ho2PuAgHg4
_chemical_formula_sum 'Ho6 Pu3 Ag3 Hg12'
_cell_length_a 5.1187
_cell_length_b 5.1187
_cell_length_c 25.8777
_cell_angle_alpha 90.00
_cell_angle_beta 90.00
_cell_angle_gamma 120.00
_space_group_name_H-M_alt 'R -3 m'
_space_group_IT_number 166
_space_group_name_Hall '-R 3 2"'
loop_
_atom_site_label
_atom_site_type_symbol
_atom_site_fract_x
_atom_site_fract_y
_atom_site_fract_z
_atom_site_occupancy
Ho1 Ho 0.0000 0.0000 0.2443 1
Pu1 Pu 0.0000 0.0000 0.0000 1
Ag1 Ag 0.0000 0.0000 0.5000 1
Hg1 Hg 0.0000 0.0000 0.1253 1
Hg2 Hg 0.0000 0.0000 0.3773 1

(11)
# BeBiW2, optimized geometry, DFT PBE
# Relative energy among the computed polymorphs (meV/atom): 191
# Magnetic moment (μB/f.u.): 0.0
# E (eV per atom): -7.237
# DOS at the Fermi energy (states/eV/cell): 9.54
data_BeBiW2
_chemical_formula_sum 'Be4 Bi4 W8'
_cell_length_a 6.437
_cell_length_b 6.437
_cell_length_c 6.437
_cell_angle_alpha 90.00
_cell_angle_beta 90.00
_cell_angle_gamma 90.00
_space_group_name_H-M_alt 'F m -3 m'
_space_group_IT_number 225
_space_group_name_Hall '-F 4 2 3'
loop_
_atom_site_label
_atom_site_type_symbol
_atom_site_fract_x
_atom_site_fract_y
_atom_site_fract_z
_atom_site_occupancy
Be1 Be 0.000 0.000 0.000 1
Bi1 Bi 0.000 0.000 0.500 1
W1 W 0.250 0.250 0.250 1

(12)
# BaNiRu2, optimized geometry, DFT PBE
# Relative energy among the computed polymorphs (meV/atom): 781
# Magnetic moment (μB/f.u.): 2.4
# E (eV per atom): -5.537
# DOS at the Fermi energy (states/eV/cell): 6.00
data_BaNiRu2
_chemical_formula_sum 'Ba1 Ni1 Ru2'
_cell_length_a 3.042
_cell_length_b 4.803
_cell_length_c 5.059
_cell_angle_alpha 90.00
_cell_angle_beta 90.00
_cell_angle_gamma 90.00
_space_group_name_H-M_alt 'P m m m'
_space_group_IT_number 47
_space_group_name_Hall '-P 2 2'
loop_
_atom_site_label
_atom_site_type_symbol
_atom_site_fract_x
_atom_site_fract_y
_atom_site_fract_z
_atom_site_occupancy
Ba1 Ba 0.000 0.000 0.000 1
Ni1 Ni 0.500 0.500 0.000 1
Ru1 Ru 0.000 0.500 0.500 1
Ru2 Ru 0.500 0.000 0.500 1

(13)
# ErCrPt6, optimized geometry, DFT PBE
# Magnetic moment (μB/f.u.): 2.3
# E (eV per atom): -6.940
# DOS at the Fermi energy (states/eV/cell): 9.82
data_ErCrPt6
_chemical_formula_sum 'Er1 Cr1 Pt6'
_cell_length_a 4.005
_cell_length_b 4.005
_cell_length_c 8.061
_cell_angle_alpha 90.00
_cell_angle_beta 90.00
_cell_angle_gamma 90.00
_space_group_name_H-M_alt 'P 4/m m m'
_space_group_IT_number 123
_space_group_name_Hall '-P 4 2'
loop_
_atom_site_label
_atom_site_type_symbol
_atom_site_fract_x
_atom_site_fract_y
_atom_site_fract_z
_atom_site_occupancy
Er1 Er 0.000 0.000 0.000 1
Cr1 Cr 0.000 0.000 0.500 1
Pt1 Pt 0.000 0.500 0.264 1
Pt2 Pt 0.500 0.500 0.000 1
Pt3 Pt 0.500 0.500 0.500 1